[1]
A relaxed Li2Tl2In crystal, computed with PBE.

* calculated volume: 23.2 Å³ per atom
* ΔH_f (0 K): -133.6 meV/atom
* electronic total energy: -11.97 eV/f.u.
* space group: P4/mbm (127)

Cell lengths 8.335, 8.335, 3.340 Å; angles 90.00, 90.00, 90.00 degrees
Positions (direct):
1 Tl 0.360 0.860 0.000
2 Tl 0.860 0.640 0.000
3 Tl 0.640 0.140 0.000
4 Tl 0.140 0.360 0.000
5 Li 0.160 0.660 0.500
6 Li 0.660 0.840 0.500
7 Li 0.840 0.340 0.500
8 Li 0.340 0.160 0.500
9 In 0.000 0.000 0.000
10 In 0.500 0.500 0.000

---

[2]
A relaxed Nd10Er6Th crystal, computed with PBE.

* calculated volume: 34.1 Å³ per atom
* ΔH_f (0 K): 147.7 meV/atom
* electronic total energy: -79.97 eV/f.u.
* space group: P-31m (162)

Cell lengths 6.961, 9.803, 9.803 Å; angles 120.00, 90.00, 90.00 degrees
Positions (direct):
1 Nd 0.824 0.721 0.721
2 Nd 0.824 0.000 0.279
3 Nd 0.824 0.279 0.000
4 Nd 0.176 0.279 0.279
5 Nd 0.176 0.000 0.721
6 Nd 0.176 0.721 0.000
7 Nd 0.500 0.333 0.667
8 Nd 0.500 0.667 0.333
9 Nd 0.000 0.667 0.333
10 Nd 0.000 0.333 0.667
11 Er 0.679 0.363 0.363
12 Er 0.679 0.000 0.637
13 Er 0.679 0.637 0.000
14 Er 0.321 0.637 0.637
15 Er 0.321 0.000 0.363
16 Er 0.321 0.363 0.000
17 Th 0.500 0.000 0.000

---

[3]
A relaxed YMn2Fe crystal, computed with PBE.

* calculated volume: 16.9 Å³ per atom
* ΔH_f (0 K): 375.8 meV/atom
* electronic total energy: -31.76 eV/f.u.
* space group: I-4m2 (119)

Cell lengths 4.962, 4.962, 4.962 Å; angles 131.23, 131.23, 71.45 degrees
Last column: magnetic moment on the atom in μB.
Positions (direct):
1 Fe 0.750 0.250 0.500  2.53
2 Mn 0.000 0.000 0.000  3.32
3 Mn 0.250 0.750 0.500  3.34
4 Y 0.500 0.500 0.000  -0.22

---

[4]
A relaxed HfRuO2F crystal, computed with PBE.

* calculated volume: 12.9 Å³ per atom
* uncorrected formation energy: 60 kJ/mol of formula units
* electronic total energy: -30.40 eV/f.u.
* space group: P4/mmm (123)

Cell lengths 4.273, 3.529, 4.273 Å; angles 90.00, 90.00, 90.00 degrees
Positions (direct):
1 Ru 0.000 0.500 0.000
2 Hf 0.500 0.500 0.500
3 O 0.000 0.000 0.500
4 O 0.500 0.000 0.000
5 F 0.000 0.000 0.000

---

[5]
A relaxed BaSr2Sn2 crystal, computed with PBE.

* calculated volume: 36.5 Å³ per atom
* ΔH_f (0 K): -537.4 meV/atom
* electronic total energy: -15.98 eV/f.u.
* space group: P4/mbm (127)

Cell lengths 9.881, 9.881, 3.736 Å; angles 90.00, 90.00, 90.00 degrees
Positions (direct):
1 Sr 0.376 0.876 0.000
2 Sr 0.876 0.624 0.000
3 Sr 0.624 0.124 0.000
4 Sr 0.124 0.376 0.000
5 Ba 0.000 0.000 0.000
6 Ba 0.500 0.500 0.000
7 Sn 0.175 0.675 0.500
8 Sn 0.675 0.825 0.500
9 Sn 0.825 0.325 0.500
10 Sn 0.325 0.175 0.500

---

[6]
A relaxed Zr2NbAg crystal, computed with PBE.

* calculated volume: 21.6 Å³ per atom
* ΔH_f (0 K): 576.8 meV/atom
* electronic total energy: -27.71 eV/f.u.
* space group: I-42d (122)

Cell lengths 4.169, 4.169, 10.385 Å; angles 78.42, 78.42, 90.00 degrees
Positions (direct):
1 Nb 0.500 0.500 0.000
2 Nb 0.250 0.750 0.500
3 Zr 0.618 0.125 0.250
4 Zr 0.132 0.625 0.250
5 Zr 0.375 0.382 0.750
6 Zr 0.875 0.868 0.750
7 Ag 0.000 0.000 0.000
8 Ag 0.750 0.250 0.500

---

[7]
A relaxed AcGd2N crystal, computed with PBE.

* calculated volume: 24.9 Å³ per atom
* uncorrected formation energy: -37 kJ/mol of formula units
* electronic total energy: -40.98 eV/f.u.
* space group: P4/mmm (123)

Cell lengths 3.314, 3.314, 9.084 Å; angles 90.00, 90.00, 90.00 degrees
Last column: magnetic moment on the atom in μB.
Positions (direct):
1 Ac 0.500 0.500 0.500  -0.04
2 Gd 0.000 0.000 0.844  7.20
3 Gd 0.000 0.000 0.156  7.20
4 N 0.500 0.500 0.000  -0.04

---

[8]
A relaxed KCaAlV2 crystal, computed with PBE.

* calculated volume: 30.8 Å³ per atom
* ΔH_f (0 K): 961.0 meV/atom
* electronic total energy: -20.27 eV/f.u.
* space group: P4/mmm (123)

Cell lengths 5.173, 5.750, 5.173 Å; angles 90.00, 90.00, 90.00 degrees
Last column: magnetic moment on the atom in μB.
Positions (direct):
1 Ca 0.000 0.500 0.000  0.03
2 Al 0.000 0.000 0.000  -0.03
3 K 0.500 0.500 0.500  0.04
4 V 0.000 0.000 0.500  2.92
5 V 0.500 0.000 0.000  2.69

---

[9]
A relaxed YLuSe3 crystal, computed with PBE.

* calculated volume: 29.1 Å³ per atom
* uncorrected formation energy: -567 kJ/mol of formula units
* electronic total energy: -27.31 eV/f.u.
* space group: I-4m2 (119)

Cell lengths 5.363, 5.363, 10.810 Å; angles 75.64, 75.64, 90.00 degrees
Last column: magnetic moment on the atom in μB.
Positions (direct):
1 Y 0.651 0.151 0.698  0.25
2 Y 0.849 0.349 0.302  0.22
3 Lu 0.000 0.000 0.000  0.25
4 Lu 0.250 0.750 0.500  0.01
5 Se 0.138 0.883 0.234  0.00
6 Se 0.117 0.862 0.766  0.00
7 Se 0.117 0.371 0.766  0.00
8 Se 0.629 0.883 0.234  0.00
9 Se 0.286 0.286 0.427  0.00
10 Se 0.714 0.714 0.573  0.00

---

[10]
A relaxed SmPuInRh crystal, computed with PBE.

* calculated volume: 24.2 Å³ per atom
* ΔH_f (0 K): -274.3 meV/atom
* electronic total energy: -30.24 eV/f.u.
* space group: F-43m (216)

Cell lengths 5.156, 5.156, 5.156 Å; angles 60.00, 60.00, 60.00 degrees
Last column: magnetic moment on the atom in μB.
Positions (direct):
1 In 0.500 0.500 0.500  0.00
2 Rh 0.000 0.000 0.000  -0.22
3 Sm 0.750 0.750 0.750  0.04
4 Pu 0.250 0.250 0.250  5.30

---

[11]
A relaxed ReTcTe3 crystal, computed with PBE.

* calculated volume: 28.9 Å³ per atom
* uncorrected formation energy: 674 kJ/mol of formula units
* electronic total energy: -25.25 eV/f.u.
* space group: Pm-3m (221)

Cell lengths 5.246, 5.246, 5.246 Å; angles 90.00, 90.00, 90.00 degrees
Last column: magnetic moment on the atom in μB.
Positions (direct):
1 Re 0.000 0.000 0.000  -0.87
2 Te 0.000 0.500 0.000  -0.09
3 Te 0.000 0.000 0.500  -0.01
4 Te 0.500 0.000 0.000  -0.11
5 Tc 0.500 0.500 0.500  3.59

---

[12]
A relaxed Hf2As2Pb crystal, computed with PBE.

* calculated volume: 21.3 Å³ per atom
* ΔH_f (0 K): -386.5 meV/atom
* electronic total energy: -34.85 eV/f.u.
* space group: P4/mbm (127)

Cell lengths 7.832, 7.832, 3.467 Å; angles 90.00, 90.00, 90.00 degrees
Positions (direct):
1 Pb 0.000 0.000 0.000
2 Pb 0.500 0.500 0.000
3 As 0.358 0.858 0.000
4 As 0.858 0.642 0.000
5 As 0.642 0.142 0.000
6 As 0.142 0.358 0.000
7 Hf 0.143 0.643 0.500
8 Hf 0.643 0.857 0.500
9 Hf 0.857 0.357 0.500
10 Hf 0.357 0.143 0.500

---

[13]
A relaxed HoRe4 crystal, computed with PBE.

* calculated volume: 20.6 Å³ per atom
* ΔH_f (0 K): 3364.1 meV/atom
* electronic total energy: -37.55 eV/f.u.
* space group: Pm-3m (221)

Cell lengths 4.688, 4.688, 4.688 Å; angles 90.00, 90.00, 90.00 degrees
Last column: magnetic moment on the atom in μB.
Positions (direct):
1 Re 0.000 0.000 0.000  1.60
2 Re 0.500 0.000 0.500  -0.16
3 Re 0.000 0.500 0.500  -0.16
4 Re 0.500 0.500 0.000  -0.16
5 Ho 0.500 0.500 0.500  0.05

---

[14]
A relaxed TmScTcSn crystal, computed with PBE.

* calculated volume: 20.7 Å³ per atom
* ΔH_f (0 K): -324.7 meV/atom
* electronic total energy: -26.47 eV/f.u.
* space group: F-43m (216)

Cell lengths 4.893, 4.893, 4.893 Å; angles 60.00, 60.00, 60.00 degrees
Positions (direct):
1 Sc 0.500 0.500 0.500
2 Tm 0.000 0.000 0.000
3 Sn 0.250 0.250 0.250
4 Tc 0.750 0.750 0.750

---

[15]
A relaxed Cd2Bi6O11 crystal, computed with PBE.

* calculated volume: 17.0 Å³ per atom
* uncorrected formation energy: -1984 kJ/mol of formula units
* electronic total energy: -100.22 eV/f.u.
* space group: P1 (1)

Cell lengths 3.707, 3.768, 23.137 Å; angles 89.34, 89.59, 89.71 degrees
Positions (direct):
1 Cd 0.967 0.884 0.245
2 Cd 0.472 0.387 0.139
3 Bi 0.358 0.359 0.885
4 Bi 0.947 0.955 0.744
5 Bi 0.455 0.461 0.611
6 Bi 0.958 0.062 0.479
7 Bi 0.463 0.572 0.361
8 Bi 0.974 0.972 0.017
9 O 0.055 0.854 0.912
10 O 0.476 0.273 0.988
11 O 0.933 0.366 0.814
12 O 0.449 0.238 0.715
13 O 0.961 0.603 0.423
14 O 0.952 0.750 0.640
15 O 0.457 0.773 0.532
16 O 0.461 0.103 0.417
17 O 0.966 0.369 0.300
18 O 0.470 0.881 0.191
19 O 0.975 0.387 0.085

---

[16]
A relaxed LiZr2Ta crystal, computed with PBE.

* calculated volume: 19.8 Å³ per atom
* ΔH_f (0 K): 270.5 meV/atom
* electronic total energy: -29.78 eV/f.u.
* space group: I-4m2 (119)

Cell lengths 5.351, 5.351, 5.351 Å; angles 133.57, 133.57, 67.75 degrees
Positions (direct):
1 Li 0.500 0.500 0.000
2 Ta 0.750 0.250 0.500
3 Zr 0.000 0.000 0.000
4 Zr 0.250 0.750 0.500

---

[17]
A relaxed NaLiO crystal, computed with PBE.

* calculated volume: 15.7 Å³ per atom
* uncorrected formation energy: -408 kJ/mol of formula units
* electronic total energy: -12.42 eV/f.u.
* space group: I4/mmm (139)

Cell lengths 6.807, 6.807, 6.807 Å; angles 96.47, 96.47, 140.78 degrees
Positions (direct):
1 Na 0.500 0.158 0.658
2 Na 0.158 0.500 0.658
3 Na 0.842 0.500 0.342
4 Na 0.500 0.842 0.342
5 Li 0.850 0.150 0.000
6 Li 0.850 0.850 0.700
7 Li 0.150 0.150 0.300
8 Li 0.150 0.850 0.000
9 O 0.000 0.719 0.719
10 O 0.719 0.000 0.719
11 O 0.281 0.000 0.281
12 O 0.000 0.281 0.281